*A*
Density functional theory data (PBE-GGA) for a relaxed structure of Eu2CdCu.

a = 5.385 Å, b = 5.385 Å, c = 5.385 Å
α = 60.00°, β = 60.00°, γ = 60.00°
Sites, in units of the cell vectors:
Eu 0.250 0.250 0.250
Eu 0.750 0.750 0.750
Cd 0.000 0.000 0.000
Cu 0.500 0.500 0.500

---

*B*
Density functional theory data (PBE-GGA) for a relaxed structure of Eu2CdCu.

a = 10.623 Å, b = 10.623 Å, c = 10.623 Å
α = 22.03°, β = 22.03°, γ = 22.03°
Sites, in units of the cell vectors:
Eu 0.110 0.110 0.110
Eu 0.890 0.890 0.890
Cd 0.000 0.000 0.000
Cu 0.500 0.500 0.500

---

What should be chosen as the most stable of them? Choose *A*.